! GGA-PBE Na3SmBi2Se6, relaxed; values from VASP
&SYSTEM
  ibrav = 0, nat = 12, ntyp = 4
/
ATOMIC_SPECIES
Se 78.96 Se.upf
Bi 208.98 Bi.upf
Na 22.99 Na.upf
Sm 150.36 Sm.upf
CELL_PARAMETERS angstrom
-2.3517 -2.2867 6.5710
6.7389 -1.7814 -2.3133
1.1112 7.2320 1.5483
ATOMIC_POSITIONS crystal
Se 0.0784 0.4102 0.2358
Bi 0.3339 0.6661 0.0000
Bi 0.6661 0.3339 0.0000
Se 0.4102 0.0784 0.2358
Na 0.1716 0.8284 0.5000
Na 0.8284 0.1716 0.5000
Se 0.5898 0.9216 0.7642
Se 0.2526 0.2526 0.7624
Se 0.9216 0.5898 0.7642
Se 0.7474 0.7474 0.2376
Sm 0.0000 0.0000 0.0000
Na 0.5000 0.5000 0.5000
! Raw formation energy, eV/atom: -1.06
! Fermi-level density of states, states/eV per atom: 0.00



! GGA-PBE Na4Sm3BiSe8, relaxed; values from VASP
&SYSTEM
  ibrav = 0, nat = 16, ntyp = 4
/
ATOMIC_SPECIES
Se 78.96 Se.upf
Na 22.99 Na.upf
Sm 150.36 Sm.upf
Bi 208.98 Bi.upf
CELL_PARAMETERS angstrom
8.4753 0.0000 0.0000
0.0000 8.5661 0.0551
-4.2377 -4.2333 5.9949
ATOMIC_POSITIONS crystal
Se 0.2564 0.2647 0.0104
Na 0.0000 0.0000 0.0000
Sm 0.0000 0.5000 0.5000
Na 0.0000 0.0000 0.5000
Na 0.5000 0.0000 0.5000
Se 0.7540 0.2647 0.0104
Se 0.7443 0.7328 0.4887
Na 0.5000 0.0000 0.0000
Se 0.7436 0.7353 0.9896
Se 0.2460 0.7353 0.4920
Se 0.2460 0.7353 0.9896
Sm 0.5000 0.5000 0.0000
Bi 0.0000 0.5000 0.0000
Se 0.2557 0.2672 0.5113
Se 0.7540 0.2647 0.5080
Sm 0.5000 0.5000 0.5000
! Raw formation energy, eV/atom: -1.45
! Fermi-level density of states, states/eV per atom: 0.00



! GGA-PBE NaSnBi2Se4, relaxed; values from VASP
&SYSTEM
  ibrav = 0, nat = 8, ntyp = 4
/
ATOMIC_SPECIES
Se 78.96 Se.upf
Sn 118.71 Sn.upf
Bi 208.98 Bi.upf
Na 22.99 Na.upf
CELL_PARAMETERS angstrom
4.3423 0.0000 0.0000
0.0000 7.5132 0.2170
0.0000 -2.6449 6.8216
ATOMIC_POSITIONS crystal
Se 0.0000 0.2419 0.7398
Sn 0.0000 0.0000 0.0000
Se 0.5000 0.2480 0.2546
Bi 0.5000 0.0000 0.5000
Se 0.5000 0.7520 0.7454
Na 0.5000 0.5000 0.0000
Bi 0.0000 0.5000 0.5000
Se 0.0000 0.7581 0.2602
! Raw formation energy, eV/atom: -0.50
! Fermi-level density of states, states/eV per atom: 0.42



! GGA-PBE Na2SnBiSe5, relaxed; values from VASP
&SYSTEM
  ibrav = 0, nat = 18, ntyp = 4
/
ATOMIC_SPECIES
Sn 118.71 Sn.upf
Bi 208.98 Bi.upf
Na 22.99 Na.upf
Se 78.96 Se.upf
CELL_PARAMETERS angstrom
3.9507 0.0000 0.0000
-1.9754 9.6684 0.0000
0.0000 0.0000 13.6020
ATOMIC_POSITIONS crystal
Sn 0.5669 0.1338 0.9207
Sn 0.4331 0.8662 0.4207
Bi 0.2313 0.4626 0.0479
Na 0.1198 0.2396 0.3219
Se 0.2605 0.5210 0.6972
Na 0.0988 0.1977 0.6527
Se 0.9532 0.9064 0.5439
Se 0.3022 0.6043 0.3831
Na 0.9012 0.8023 0.1527
Bi 0.7687 0.5374 0.5479
Se 0.5002 0.0004 0.7635
Se 0.4998 0.9996 0.2635
Se 0.3643 0.7287 0.9931
Na 0.8802 0.7604 0.8219
Se 0.6357 0.2713 0.4931
Se 0.0468 0.0936 0.0439
Se 0.7395 0.4790 0.1972
Se 0.6978 0.3957 0.8831
! Raw formation energy, eV/atom: -0.55
! Fermi-level density of states, states/eV per atom: 0.34



! GGA-PBE NaSn3Bi2Se6, relaxed; values from VASP
&SYSTEM
  ibrav = 0, nat = 12, ntyp = 4
/
ATOMIC_SPECIES
Se 78.96 Se.upf
Sn 118.71 Sn.upf
Bi 208.98 Bi.upf
Na 22.99 Na.upf
CELL_PARAMETERS angstrom
-2.9050 -0.7579 3.2007
6.2886 -2.1111 5.2078
0.5357 9.5552 -0.2596
ATOMIC_POSITIONS crystal
Se 0.6679 0.5877 0.3358
Sn 0.5000 0.5000 0.0000
Sn 0.1656 0.8336 0.3312
Se 0.9965 0.7476 0.9930
Se 0.0035 0.2524 0.0070
Bi 0.1608 0.3288 0.3216
Na 0.5000 0.0000 0.0000
Bi 0.8392 0.6712 0.6784
Sn 0.8344 0.1664 0.6688
Se 0.3285 0.9075 0.6570
Se 0.3321 0.4123 0.6642
Se 0.6715 0.0925 0.3430
! Raw formation energy, eV/atom: -0.47
! Fermi-level density of states, states/eV per atom: 0.24



! GGA-PBE Na3SnBi2Se6, relaxed; values from VASP
&SYSTEM
  ibrav = 0, nat = 12, ntyp = 4
/
ATOMIC_SPECIES
Se 78.96 Se.upf
Na 22.99 Na.upf
Bi 208.98 Bi.upf
Sn 118.71 Sn.upf
CELL_PARAMETERS angstrom
4.1657 0.0000 0.0000
0.0000 8.6461 0.1439
-2.0828 -2.6662 8.9795
ATOMIC_POSITIONS crystal
Se 0.3384 0.9137 0.6767
Na 0.1676 0.8329 0.3351
Se 0.9984 0.7643 0.9967
Se 0.0016 0.2357 0.0033
Na 0.8324 0.1671 0.6649
Se 0.6692 0.5777 0.3383
Se 0.6616 0.0863 0.3233
Se 0.3308 0.4223 0.6617
Bi 0.1661 0.3308 0.3321
Bi 0.8339 0.6692 0.6679
Sn 0.5000 0.0000 0.0000
Na 0.5000 0.5000 0.0000
! Raw formation energy, eV/atom: -0.71
! Fermi-level density of states, states/eV per atom: 0.31



! GGA-PBE NaSnBi2Se, relaxed; values from VASP
&SYSTEM
  ibrav = 0, nat = 5, ntyp = 4
/
ATOMIC_SPECIES
Sn 118.71 Sn.upf
Bi 208.98 Bi.upf
Na 22.99 Na.upf
Se 78.96 Se.upf
CELL_PARAMETERS angstrom
-5.2941 0.5667 -2.5010
0.9306 -4.5051 -2.9909
-2.3623 -3.3099 4.2506
ATOMIC_POSITIONS crystal
Sn 0.0000 0.0000 0.0000
Bi 0.5000 0.0000 0.0000
Bi 0.0000 0.0000 0.5000
Na 0.5000 0.5000 0.5000
Se 0.0000 0.5000 0.0000
! Raw formation energy, eV/atom: 0.29
! Fermi-level density of states, states/eV per atom: 1.31



! GGA-PBE NaSrBi2Se4, relaxed; values from VASP
&SYSTEM
  ibrav = 0, nat = 8, ntyp = 4
/
ATOMIC_SPECIES
Bi 208.98 Bi.upf
Na 22.99 Na.upf
Sr 87.62 Sr.upf
Se 78.96 Se.upf
CELL_PARAMETERS angstrom
4.5523 0.0000 0.0000
0.0000 7.5296 0.1492
0.0000 -2.7162 6.8035
ATOMIC_POSITIONS crystal
Bi 0.0000 0.5000 0.5000
Bi 0.5000 0.0000 0.5000
Na 0.0000 0.0000 0.0000
Sr 0.5000 0.5000 0.0000
Se 0.5000 0.2550 0.2679
Se 0.0000 0.2442 0.7337
Se 0.0000 0.7558 0.2663
Se 0.5000 0.7450 0.7321
! Raw formation energy, eV/atom: -0.87
! Fermi-level density of states, states/eV per atom: 0.23



! GGA-PBE NaSr2BiSe4, relaxed; values from VASP
&SYSTEM
  ibrav = 0, nat = 16, ntyp = 4
/
ATOMIC_SPECIES
Se 78.96 Se.upf
Bi 208.98 Bi.upf
Na 22.99 Na.upf
Sr 87.62 Sr.upf
CELL_PARAMETERS angstrom
8.6893 0.0543 -0.0074
0.0482 8.6893 -0.0074
-4.4195 -4.4226 6.1878
ATOMIC_POSITIONS crystal
Se 0.7537 0.7464 0.9885
Se 0.7455 0.2576 0.5015
Se 0.2545 0.7424 0.4985
Bi 0.0000 0.0000 0.0000
Na 0.0000 0.5000 0.0000
Sr 0.5000 0.0000 0.5000
Sr 0.5000 0.0000 0.0000
Se 0.7536 0.7463 0.5115
Sr 0.5000 0.5000 0.0000
Na 0.0000 0.5000 0.5000
Se 0.2464 0.2537 0.4885
Se 0.2424 0.7545 0.9985
Bi 0.5000 0.5000 0.5000
Sr 0.0000 0.0000 0.5000
Se 0.7576 0.2455 0.0015
Se 0.2463 0.2536 0.0115
! Raw formation energy, eV/atom: -1.35



! GGA-PBE NaTa2BiSe, relaxed; values from VASP
&SYSTEM
  ibrav = 0, nat = 5, ntyp = 4
/
ATOMIC_SPECIES
Ta 180.95 Ta.upf
Se 78.96 Se.upf
Bi 208.98 Bi.upf
Na 22.99 Na.upf
CELL_PARAMETERS angstrom
5.0574 0.0000 0.0000
0.0000 4.5725 0.0000
0.0000 0.0000 5.0574
ATOMIC_POSITIONS crystal
Ta 0.0000 0.0000 0.5000
Se 0.0000 0.5000 0.0000
Bi 0.5000 0.5000 0.5000
Na 0.0000 0.0000 0.0000
Ta 0.5000 0.0000 0.0000
! Raw formation energy, eV/atom: 1.85
! Fermi-level density of states, states/eV per atom: 1.40



! GGA-PBE Na3Tb2BiSe6, relaxed; values from VASP
&SYSTEM
  ibrav = 0, nat = 12, ntyp = 4
/
ATOMIC_SPECIES
Tb 158.93 Tb.upf
Se 78.96 Se.upf
Na 22.99 Na.upf
Bi 208.98 Bi.upf
CELL_PARAMETERS angstrom
-6.4742 -2.1723 2.4784
2.7281 -2.9078 -6.0728
4.3868 -3.3129 5.0058
ATOMIC_POSITIONS crystal
Tb 0.6672 0.3328 0.0000
Tb 0.3328 0.6672 0.0000
Se 0.9223 0.5830 0.7674
Se 0.4170 0.0777 0.2326
Se 0.5830 0.9223 0.7674
Se 0.7378 0.7378 0.2318
Na 0.5000 0.5000 0.5000
Bi 0.0000 0.0000 0.0000
Na 0.1626 0.8374 0.5000
Se 0.0777 0.4170 0.2326
Na 0.8374 0.1626 0.5000
Se 0.2622 0.2622 0.7682
! Raw formation energy, eV/atom: -1.38
! Fermi-level density of states, states/eV per atom: 0.00



! GGA-PBE Na3Tb3BiSe8, relaxed; values from VASP
&SYSTEM
  ibrav = 0, nat = 15, ntyp = 4
/
ATOMIC_SPECIES
Se 78.96 Se.upf
Na 22.99 Na.upf
Tb 158.93 Tb.upf
Bi 208.98 Bi.upf
CELL_PARAMETERS angstrom
8.2960 0.0000 0.0000
-4.1480 7.1842 -0.0281
0.0000 -4.7665 7.0961
ATOMIC_POSITIONS crystal
Se 0.7420 0.9863 0.7304
Na 0.0000 0.0000 0.0000
Tb 0.5000 0.5000 0.5000
Tb 0.0000 0.5000 0.5000
Na 0.5000 0.5000 0.0000
Na 0.0000 0.5000 0.0000
Se 0.7433 0.4865 0.7295
Se 0.2567 0.5135 0.2705
Bi 0.0000 0.0000 0.5000
Se 0.2580 0.0137 0.2696
Se 0.7557 0.0137 0.2696
Se 0.7556 0.5113 0.2696
Tb 0.5000 0.0000 0.5000
Se 0.2443 0.9863 0.7304
Se 0.2444 0.4887 0.7304
! Raw formation energy, eV/atom: -1.38
! Fermi-level density of states, states/eV per atom: 0.39